# 1
Density functional theory data (GGA-PBE) for a geometry-optimized Pm2ScGa structure.

Computed properties:
- Formation enthalpy at 0 K: 0.64 eV per formula unit
- ρ: 5.674 Mg/m³
- Energy: -18.2 eV per formula unit

Unit cell a=11.7766 b=11.7766 c=11.7766 alpha=16.76 beta=16.76 gamma=16.76
Fractional positions:
Pm1 0.0882 0.0882 0.0882
Pm2 0.9118 0.9118 0.9118
Sc1 0.5000 0.5000 0.5000
Ga1 0.0000 0.0000 0.0000



# 2
Density functional theory data (GGA-PBE) for a geometry-optimized Sc2TiAg2 structure.

Computed properties:
- Formation enthalpy at 0 K: 0.16 eV per formula unit
- ρ: 5.787 Mg/m³
- Energy: -26.1 eV per formula unit

Unit cell a=7.9676 b=7.9676 c=3.1957 alpha=90.00 beta=90.00 gamma=90.00
Fractional positions:
Sc1 0.1556 0.3444 0.0000
Sc2 0.3444 0.8444 0.0000
Sc3 0.6556 0.1556 0.0000
Sc4 0.8444 0.6556 0.0000
Ti1 0.0000 0.0000 0.0000
Ti2 0.5000 0.5000 0.0000
Ag1 0.1416 0.6416 0.5000
Ag2 0.3584 0.1416 0.5000
Ag3 0.6416 0.8584 0.5000
Ag4 0.8584 0.3584 0.5000



# 3
Density functional theory data (GGA-PBE) for a geometry-optimized Si2PRu structure.

Computed properties:
- ρ: 5.724 Mg/m³
- Formation energy without anion corrections: 0.194 eV per atom
- Energy: -24.8 eV per formula unit

Unit cell a=4.3461 b=4.3461 c=4.3461 alpha=123.55 beta=123.55 gamma=83.96
Fractional positions:
Si1 0.0000 0.0000 0.0000
Si2 0.7500 0.2500 0.5000
P1 0.2500 0.7500 0.5000
Ru1 0.5000 0.5000 0.0000



# 4
Density functional theory data (GGA-PBE) for a geometry-optimized AcSmAl structure.

Computed properties:
- Formation enthalpy at 0 K: -0.21 eV per formula unit
- ρ: 7.004 Mg/m³
- Energy: -12.8 eV per formula unit

Unit cell a=5.2916 b=5.2916 c=3.9529 alpha=90.00 beta=90.00 gamma=120.00
Fractional positions:
Ac1 0.0000 0.0000 0.0000
Sm1 0.6667 0.3333 0.4433
Al1 0.3333 0.6667 0.6135



# 5
Density functional theory data (GGA-PBE) for a geometry-optimized Dy2YThSc4 structure.

Computed properties:
- Formation enthalpy at 0 K: 0.35 eV per formula unit
- ρ: 6.118 Mg/m³
- Energy: -48.1 eV per formula unit

Unit cell a=4.9531 b=4.9531 c=9.1364 alpha=90.00 beta=90.00 gamma=90.00
Fractional positions:
Dy1 0.0000 0.0000 0.0000
Dy2 0.5000 0.5000 0.5000
Y1 0.0000 0.0000 0.5000
Th1 0.5000 0.5000 0.0000
Sc1 0.0000 0.5000 0.2464
Sc2 0.0000 0.5000 0.7536
Sc3 0.5000 0.0000 0.2464
Sc4 0.5000 0.0000 0.7536



# 6
Density functional theory data (GGA-PBE) for a geometry-optimized Sm4Dy2Th3 structure.

Computed properties:
- Formation enthalpy at 0 K: 0.78 eV per formula unit
- ρ: 9.053 Mg/m³
- Energy: -49.6 eV per formula unit

Unit cell a=3.5774 b=3.5774 c=26.8531 alpha=90.00 beta=90.00 gamma=120.00
Fractional positions:
Sm1 0.0000 0.0000 0.0000
Sm2 0.0000 0.0000 0.2181
Sm3 0.3333 0.6667 0.3309
Sm4 0.3333 0.6667 0.5509
Dy1 0.0000 0.0000 0.6598
Dy2 0.0000 0.0000 0.8744
Th1 0.0000 0.0000 0.4406
Th2 0.3333 0.6667 0.1076
Th3 0.3333 0.6667 0.7694



# 7
Density functional theory data (GGA-PBE) for a geometry-optimized Si2AgTe structure.

Computed properties:
- ρ: 5.628 Mg/m³
- Formation energy without anion corrections: 0.556 eV per atom
- Energy: -14.6 eV per formula unit

Unit cell a=2.8967 b=2.8967 c=10.2558 alpha=90.00 beta=90.00 gamma=90.12
Fractional positions:
Si1 0.0000 0.0000 0.1915
Si2 0.0000 0.0000 0.8085
Ag1 0.5000 0.5000 0.0000
Te1 0.5000 0.5000 0.5000



# 8
Density functional theory data (GGA-PBE) for a geometry-optimized KMnTlSn2 structure.

Computed properties:
- Formation enthalpy at 0 K: 0.32 eV per formula unit
- ρ: 6.309 Mg/m³
- Energy: -20.3 eV per formula unit

Unit cell a=5.1497 b=5.1497 c=5.3183 alpha=90.00 beta=90.00 gamma=90.00
Fractional positions:
K1 0.0000 0.0000 0.0000
Mn1 0.5000 0.5000 0.5000
Tl1 0.5000 0.5000 0.0000
Sn1 0.0000 0.5000 0.5000
Sn2 0.5000 0.0000 0.5000



# 9
Density functional theory data (GGA-PBE) for a geometry-optimized Tb5Y3Ho structure.

Computed properties:
- Formation enthalpy at 0 K: 4.77 eV per formula unit
- ρ: 6.171 Mg/m³
- Energy: -42.4 eV per formula unit

Unit cell a=9.4970 b=9.4970 c=9.9405 alpha=120.91 beta=120.91 gamma=74.13
Fractional positions:
Tb1 0.0939 0.5971 0.2486
Tb2 0.2242 0.2242 0.2347
Tb3 0.2439 0.7561 0.0000
Tb4 0.2778 0.2778 0.9611
Tb5 0.4029 0.9061 0.7514
Tb6 0.5971 0.0939 0.2486
Tb7 0.7222 0.7222 0.0389
Tb8 0.7561 0.2439 0.0000
Tb9 0.7758 0.7758 0.7653
Tb10 0.9061 0.4029 0.7514
Y1 0.0000 0.0000 0.5000
Y2 0.0105 0.0105 0.8207
Y3 0.4809 0.4809 0.6406
Y4 0.5000 0.5000 0.0000
Y5 0.5191 0.5191 0.3594
Y6 0.9895 0.9895 0.1793
Ho1 0.2482 0.2482 0.5989
Ho2 0.7518 0.7518 0.4011



# 10
Density functional theory data (GGA-PBE) for a geometry-optimized MoRuPt2 structure.

Computed properties:
- Formation enthalpy at 0 K: 0.34 eV per formula unit
- ρ: 15.668 Mg/m³
- Energy: -31.8 eV per formula unit

Unit cell a=3.3952 b=3.3952 c=5.3984 alpha=90.00 beta=90.00 gamma=90.00
Fractional positions:
Mo1 0.0000 0.0000 0.0000
Ru1 0.0000 0.0000 0.5000
Pt1 0.5000 0.5000 0.2519
Pt2 0.5000 0.5000 0.7481



# 11
Density functional theory data (GGA-PBE) for a geometry-optimized IClF3 structure.

Computed properties:
- ρ: 3.233 Mg/m³
- Formation energy without anion corrections: -1.122 eV per atom
- Energy: -14.6 eV per formula unit

Unit cell a=5.2377 b=6.0793 c=7.1852 alpha=85.86 beta=87.68 gamma=81.13
Fractional positions:
I1 0.0000 0.0000 0.0000
I2 0.0202 0.5279 0.5169
Cl1 0.3128 0.7819 0.5828
Cl2 0.7100 0.3389 0.0148
F1 0.1869 0.7015 0.0526
F2 0.2061 0.3322 0.7048
F3 0.2179 0.1007 0.1755
F4 0.7376 0.8664 0.8854
F5 0.8208 0.2756 0.5175
F6 0.8211 0.9126 0.2211



# 12
Density functional theory data (GGA-PBE) for a geometry-optimized Rb2LiAsI6 structure.

Computed properties:
- ρ: 4.144 Mg/m³
- Formation energy without anion corrections: -0.887 eV per atom
- Energy: -26.7 eV per formula unit

Unit cell a=7.9579 b=7.9582 c=8.5246 alpha=62.28 beta=62.24 gamma=90.00
Fractional positions:
Rb1 0.0000 0.0000 0.0000
Rb2 0.4997 0.4987 0.9998
Li1 0.6990 0.1984 0.6028
As1 0.2418 0.7415 0.5156
I1 0.0254 0.5283 0.9466
I2 0.0607 0.0625 0.4936
I3 0.4409 0.4388 0.4995
I4 0.4842 0.9794 0.0341
I5 0.5612 0.9422 0.4968
I6 0.9407 0.5594 0.4963



# 13
Density functional theory data (GGA-PBE) for a geometry-optimized CaCr2Mo structure.

Computed properties:
- Formation enthalpy at 0 K: 4.81 eV per formula unit
- ρ: 4.343 Mg/m³
- Energy: -27.3 eV per formula unit

Unit cell a=8.8823 b=8.8823 c=8.8823 alpha=149.17 beta=149.17 gamma=44.16
Fractional positions:
Ca1 0.3750 0.6250 0.7500
Ca2 0.6250 0.3750 0.2500
Cr1 0.0000 0.0000 0.0000
Cr2 0.0000 0.0000 0.5000
Cr3 0.0000 0.5000 0.0000
Cr4 0.5000 0.0000 0.5000
Mo1 0.1250 0.8750 0.2500
Mo2 0.8750 0.1250 0.7500



# 14
Density functional theory data (GGA-PBE) for a geometry-optimized La2ScSb4Rh3 structure.

Computed properties:
- ρ: 7.978 Mg/m³
- Formation energy without anion corrections: -0.897 eV per atom
- Energy: -63.7 eV per formula unit

Unit cell a=4.5366 b=4.5366 c=11.3126 alpha=90.00 beta=90.00 gamma=90.00
Fractional positions:
La1 0.0000 0.5000 0.2353
La2 0.5000 0.0000 0.7647
Sc1 0.0000 0.0000 0.5000
Sb1 0.0000 0.0000 0.0000
Sb2 0.0000 0.5000 0.6481
Sb3 0.5000 0.0000 0.3519
Sb4 0.5000 0.5000 0.0000
Rh1 0.0000 0.5000 0.8811
Rh2 0.5000 0.0000 0.1189
Rh3 0.5000 0.5000 0.5000



# 15
Density functional theory data (GGA-PBE) for a geometry-optimized Np3Sb2H2 structure.

Computed properties:
- ρ: 11.482 Mg/m³
- Energy: -53.9 eV per formula unit

Unit cell a=5.1529 b=5.1529 c=7.6701 alpha=104.19 beta=104.19 gamma=44.79
Fractional positions:
Np1 0.0000 0.0000 0.0000
Np2 0.1046 0.1046 0.4424
Np3 0.8954 0.8954 0.5576
Sb1 0.3479 0.3479 0.2251
Sb2 0.6521 0.6521 0.7749
H1 0.3207 0.3207 0.6157
H2 0.6793 0.6793 0.3843



# 16
Density functional theory data (GGA-PBE) for a geometry-optimized PaGaPtAu structure.

Computed properties:
- Formation enthalpy at 0 K: -2.37 eV per formula unit
- ρ: 14.422 Mg/m³
- Energy: -24.2 eV per formula unit

Unit cell a=4.8318 b=4.8318 c=4.8318 alpha=60.00 beta=60.00 gamma=60.00
Fractional positions:
Pa1 0.0000 0.0000 0.0000
Ga1 0.5000 0.5000 0.5000
Pt1 0.2500 0.2500 0.2500
Au1 0.7500 0.7500 0.7500



# 17
Density functional theory data (GGA-PBE) for a geometry-optimized Pm6Sb3Se2S structure.

Computed properties:
- ρ: 6.894 Mg/m³
- Formation energy without anion corrections: -1.533 eV per atom
- Energy: -70.4 eV per formula unit

Unit cell a=9.6753 b=9.6753 c=8.6359 alpha=102.82 beta=102.82 gamma=25.86
Fractional positions:
Pm1 0.0010 0.0010 0.2340
Pm2 0.3317 0.3317 0.4217
Pm3 0.3415 0.3415 0.9137
Pm4 0.6585 0.6585 0.0863
Pm5 0.6683 0.6683 0.5783
Pm6 0.9990 0.9990 0.7660
Sb1 0.1691 0.1691 0.8352
Sb2 0.5000 0.5000 0.5000
Sb3 0.8309 0.8309 0.1648
Se1 0.1662 0.1662 0.3337
Se2 0.8338 0.8338 0.6663
S1 0.5000 0.5000 0.0000